Below is a relaxed BaCrCo2 crystal, with properties calculated at the GGA-PBE level.

Lattice parameters (Å, degrees): 4.492 5.828 7.031 90.00 90.00 90.00
Space group Immm (No. 71)
Symmetry-distinct sites (fractional):
Ba (0.000, 0.000, 0.000) x2
Cr (0.000, 0.000, 0.500) x2
Co (0.000, 0.500, 0.157) x4

Summary:
The formation energy is 0.98 eV per atom. Its total energy is -5.4629 eV/atom. The energy above the most stable polymorph in this dataset comes out at 577 meV/atom.

Below is a relaxed RbCa2Hg6 crystal, with properties calculated at the GGA-PBE level.

Lattice parameters (Å, degrees): 15.521 8.961 3.711 90.00 90.65 90.00
Space group C2/m (No. 12)
Symmetry-distinct sites (fractional):
Rb (0.000, 0.000, 0.000) x2
Ca (0.167, 0.500, 0.000) x4
Hg (0.000, 0.339, 0.500) x4
Hg (0.170, 0.169, 0.514) x8

Summary:
The formation energy is -0.32 eV per atom. Its total energy is -1.0762 eV/atom.

Below is a relaxed Pa2ZnCd crystal, with properties calculated at the GGA-PBE level.

Lattice parameters (Å, degrees): 3.048 3.048 9.527 90.00 90.00 90.00
Space group P4/mmm (No. 123)
Symmetry-distinct sites (fractional):
Pa (0.000, 0.000, 0.231) x2
Zn (0.500, 0.500, 0.000) x1
Cd (0.500, 0.500, 0.500) x1

Summary:
The formation energy is 0.06 eV per atom. Its total energy is -5.2324 eV/atom. The energy above the most stable polymorph in this dataset comes out at 0 meV/atom.